This record from Alexandria describes a relaxed NpAgTe2S6 crystal. The functional is PBE-GGA.

```
NpAgTe2S6
1.0
7.6184 -1.0910 -0.1536
-4.7307 7.3438 -0.2246
-3.6298 -2.0384 6.0568
Np Ag Te S
1 1 2 6
direct
0.0170 0.0440 0.0080
0.0256 0.3885 0.4917
0.6018 0.7683 0.4388
0.3704 0.1824 0.5315
0.4768 0.8229 0.6706
0.5174 0.1899 0.2918
0.8920 0.8009 0.2448
0.0880 0.3630 0.1710
0.8472 0.7059 0.7204
0.1294 0.2118 0.7340
```

## Properties
Space-group type: P1
Energy relative to the elements, uncorrected in eV/atom: -0.26
Total moment in μB/f.u.: 1.97
VASP energy in eV per atom: -4.9454
D(E_F) in states/eV/f.u.: 9.19